No. 1
First-principles (PBE-GGA) data for crystalline ZrBiI2Br at its relaxed geometry, as listed in the Alexandria database.

* formation energy without anion corrections: 0.54 eV per atom

a b c (Å): 6.2590 6.2590 5.6441
angles (deg): 90.00 90.00 90.00
Fractional coordinates of all 5 atoms:
Zr 0.0000 0.0000 0.0000
Bi 0.5000 0.5000 0.5000
I 0.0000 0.5000 0.5000
I 0.5000 0.0000 0.5000
Br 0.5000 0.5000 0.0000

***

No. 2
First-principles (PBE-GGA) data for crystalline InBiBr2 at its relaxed geometry, as listed in the Alexandria database.

* formation energy without anion corrections: -0.39 eV per atom
* distance to the lowest polymorph of the same formula: 0 meV per atom

a b c (Å): 10.6200 10.6200 10.6200
angles (deg): 20.85 20.85 20.85
Fractional coordinates of all 4 atoms:
In 0.0000 0.0000 0.0000
Bi 0.5000 0.5000 0.5000
Br 0.4079 0.4079 0.4079
Br 0.5921 0.5921 0.5921

***

No. 3
First-principles (PBE-GGA) data for crystalline In5Bi2Br12 at its relaxed geometry, as listed in the Alexandria database.

* formation energy without anion corrections: -0.66 eV per atom
* distance to the lowest polymorph of the same formula: 0 meV per atom

a b c (Å): 10.1394 10.1394 10.1114
angles (deg): 110.09 110.09 49.98
Fractional coordinates of all 19 atoms:
In 0.0000 0.0000 0.0000
In 0.2603 0.2603 0.1218
In 0.3148 0.3148 0.6763
In 0.6852 0.6852 0.3237
In 0.7397 0.7397 0.8782
Bi 0.2542 0.7458 0.5000
Bi 0.7458 0.2542 0.5000
Br 0.0089 0.0089 0.7040
Br 0.0961 0.5696 0.4067
Br 0.1105 0.6476 0.9188
Br 0.3524 0.8895 0.0812
Br 0.4304 0.9039 0.5933
Br 0.4889 0.4889 0.2927
Br 0.5111 0.5111 0.7073
Br 0.5696 0.0961 0.4067
Br 0.6476 0.1105 0.9188
Br 0.8895 0.3524 0.0812
Br 0.9039 0.4304 0.5933
Br 0.9911 0.9911 0.2960

***

No. 4
First-principles (PBE-GGA) data for crystalline In2BiBr6 at its relaxed geometry, as listed in the Alexandria database.

* formation energy without anion corrections: -0.64 eV per atom
* distance to the lowest polymorph of the same formula: 0 meV per atom

a b c (Å): 10.5486 10.5486 6.2148
angles (deg): 100.65 100.65 100.16
Fractional coordinates of all 18 atoms:
In 0.0247 0.2283 0.1027
In 0.2283 0.0247 0.6027
In 0.7717 0.9753 0.3973
In 0.9753 0.7717 0.8973
Bi 0.4056 0.5944 0.7500
Bi 0.5944 0.4056 0.2500
Br 0.0172 0.2007 0.5870
Br 0.1601 0.5870 0.8510
Br 0.2007 0.0172 0.0870
Br 0.3060 0.4267 0.3070
Br 0.4130 0.8399 0.6490
Br 0.4267 0.3060 0.8070
Br 0.5733 0.6940 0.1930
Br 0.5870 0.1601 0.3510
Br 0.6940 0.5733 0.6930
Br 0.7993 0.9828 0.9130
Br 0.8399 0.4130 0.1490
Br 0.9828 0.7993 0.4130

***

Calculated E in order - -2.8972 -2.8781 -2.8481 -2.7934 eV/atom